Record 1
VASP calculation (SCAN) on a crystal of InFe2Cl relaxed with PBEsol.

Values from the calculation:
Total magnetic moment = 5.59 μB/cell
Relative energy among the computed polymorphs = 2.74 kcal/mol of atoms
Electronic total energy = -76.9 eV per cell
Raw formation energy = 0.17 eV per atom
Space-group type = No. 44

Unit cell a=2.9726 b=4.4412 c=5.9211 alpha=112.03 beta=104.54 gamma=90.00
Closest atoms and distances in Å follow each position.
Fractional positions:
Cl (0.3069, 0.8069, 0.6138)  2 Fe 2.50
Fe (0.9967, 0.9967, 0.9934)  2 Fe 2.34, 2 Cl 2.50
Fe (0.6672, 0.1672, 0.3344)  2 Fe 2.34
In (0.5292, 0.5292, 0.0584)  6 Fe 2.66-2.69, 2 In 2.97

Record 2
VASP calculation (SCAN) on a crystal of InFeSCl2 relaxed with PBEsol.

Values from the calculation:
Total magnetic moment = 3.57 μB/cell
Electronic total energy = -77.1 eV per cell
Raw formation energy = -0.01 eV per atom
Space-group type = No. 123

Unit cell a=5.0105 b=4.9843 c=4.9843 alpha=90.00 beta=90.00 gamma=90.00
Closest atoms and distances in Å follow each position.
Fractional positions:
S (0.5000, 0.0000, 0.0000)  2 In 2.51
Cl (0.0000, 0.0000, 0.5000)  2 In 2.49
Cl (0.0000, 0.5000, 0.0000)  2 In 2.49
Fe (0.5000, 0.5000, 0.5000)  4 S 3.52, 8 Cl 3.53
In (0.0000, 0.0000, 0.0000)  4 Cl 2.49, 2 S 2.51

Record 3
VASP calculation (SCAN) on a crystal of FeIrCl relaxed with PBEsol.

Values from the calculation:
Total magnetic moment = 4.28 μB/cell
Electronic total energy = -94.3 eV per cell
Raw formation energy = 0.98 eV per atom
Space-group type = No. 216

Unit cell a=4.0945 b=4.0945 c=4.0945 alpha=60.00 beta=60.00 gamma=60.00
Closest atoms and distances in Å follow each position.
Fractional positions:
Ir (0.0000, 0.0000, 0.0000)  4 Fe 2.51
Fe (0.7500, 0.7500, 0.7500)  4 Ir 2.51, 4 Cl 2.51
Cl (0.5000, 0.5000, 0.5000)  4 Fe 2.51